[1]
A plane-wave DFT calculation with PBE was carried out for an optimized crystal structure of ScFeSiIr.

abc: 4.2547 4.2547 4.2547
angles: 60.00 60.00 60.00
Last column: nearest neighbours and their distance in Å.
Element x y z (fractional)
Sc1 0.0000 0.0000 0.0000  4 Fe 2.61, 4 Ir 2.61
Fe1 0.7500 0.7500 0.7500  4 Sc 2.61, 4 Si 2.61
Si1 0.5000 0.5000 0.5000  4 Fe 2.61, 4 Ir 2.61
Ir1 0.2500 0.2500 0.2500  4 Sc 2.61, 4 Si 2.61

[2]
A plane-wave DFT calculation with PBE was carried out for an optimized crystal structure of ScFeSiIr.

abc: 4.3897 4.3897 4.3897
angles: 60.00 60.00 60.00
Last column: nearest neighbours and their distance in Å.
Element x y z (fractional)
Sc1 0.0000 0.0000 0.0000  4 Ir 2.69, 4 Si 2.69
Fe1 0.5000 0.5000 0.5000  4 Ir 2.69, 4 Si 2.69
Si1 0.2500 0.2500 0.2500  4 Fe 2.69, 4 Sc 2.69
Ir1 0.7500 0.7500 0.7500  4 Fe 2.69, 4 Sc 2.69

no.,polymorph energy (0 for the lowest one) (meV/atom)
1,0.0
2,412.0